# 1
Material: CsSrZr
Method: DFT, PBE
State: optimized geometry

Values from the calculation:
Electronic total energy, eV/cell: -25.4
Distance to the lowest polymorph of the same formula, meV/atom: 117

Cell: 8.081 8.081 8.081 Å, 90.00 90.00 90.00°
Space group F-43m (No. 216)
Asymmetric unit:
Cs 0.000 0.000 0.000 [4 per cell]
Sr 0.250 0.250 0.750 [4 per cell]
Zr 0.250 0.250 0.250 [4 per cell]

---

# 2
Material: CsSrZr
Method: DFT, PBE
State: optimized geometry

Values from the calculation:
Electronic total energy, eV/cell: -26.8
Distance to the lowest polymorph of the same formula, meV/atom: 0

Cell: 8.837 8.837 8.837 Å, 90.00 90.00 90.00°
Space group F-43m (No. 216)
Asymmetric unit:
Cs 0.000 0.000 0.000 [4 per cell]
Sr 0.250 0.250 0.250 [4 per cell]
Zr 0.000 0.000 0.500 [4 per cell]

---

# 3
Material: CsTa8
Method: DFT, PBE
State: optimized geometry

Values from the calculation:
Electronic total energy, eV/cell: -77.8

Cell: 9.5576 9.5576 2.8335 Å, 90.00 90.00 120.00°
Space group P6/mmm (No. 191)
Asymmetric unit:
Cs 0.0000 0.0000 0.0000 [1 per cell]
Ta 0.1756 0.3512 0.5000 [6 per cell]
Ta 0.3333 0.6667 0.5000 [2 per cell]

---

# 4
Material: CsTa2
Method: DFT, PBE
State: optimized geometry

Values from the calculation:
Electronic total energy, eV/cell: -63.3
Distance to the lowest polymorph of the same formula, meV/atom: 3768

Cell: 12.145 12.145 12.145 Å, 90.00 90.00 90.00°
Space group Fd-3m (No. 227, origin choice 2)
Asymmetric unit:
Cs 0.125 0.125 0.125 [8 per cell]
Ta 0.000 0.000 0.000 [16 per cell]

---

# 5
Material: CsTa2
Method: DFT, PBE
State: optimized geometry

Values from the calculation:
Electronic total energy, eV/cell: -153.8
Distance to the lowest polymorph of the same formula, meV/atom: 0

Cell: 8.457 8.457 8.457 Å, 90.00 90.00 90.00°
Space group Fd-3m (No. 227, origin choice 2)
Asymmetric unit:
Cs 0.125 0.125 0.125 [8 per cell]
Ta 0.000 0.000 0.500 [16 per cell]

---

# 6
Material: CsUTa
Method: DFT, PBE
State: optimized geometry

Values from the calculation:
Electronic total energy, eV/cell: -66.3
Distance to the lowest polymorph of the same formula, meV/atom: 0

Cell: 7.144 7.144 7.144 Å, 90.00 90.00 90.00°
Space group F-43m (No. 216)
Asymmetric unit:
Cs 0.000 0.000 0.000 [4 per cell]
U 0.250 0.250 0.250 [4 per cell]
Ta 0.000 0.000 0.500 [4 per cell]

---

# 7
Material: CsUTa
Method: DFT, PBE
State: optimized geometry

Values from the calculation:
Electronic total energy, eV/cell: -64.0
Distance to the lowest polymorph of the same formula, meV/atom: 190

Cell: 6.973 6.973 6.973 Å, 90.00 90.00 90.00°
Space group F-43m (No. 216)
Asymmetric unit:
Cs 0.000 0.000 0.000 [4 per cell]
U 0.250 0.250 0.750 [4 per cell]
Ta 0.250 0.250 0.250 [4 per cell]

---

# 8
Material: CsTaW
Method: DFT, PBE
State: optimized geometry

Values from the calculation:
Electronic total energy, eV/cell: -75.3
Distance to the lowest polymorph of the same formula, meV/atom: 0

Cell: 6.684 6.684 6.684 Å, 90.00 90.00 90.00°
Space group F-43m (No. 216)
Asymmetric unit:
Cs 0.000 0.000 0.000 [4 per cell]
Ta 0.000 0.000 0.500 [4 per cell]
W 0.250 0.250 0.250 [4 per cell]

---

# 9
Material: CsTaW
Method: DFT, PBE
State: optimized geometry

Values from the calculation:
Electronic total energy, eV/cell: -61.2
Distance to the lowest polymorph of the same formula, meV/atom: 1177

Cell: 6.522 6.522 6.522 Å, 90.00 90.00 90.00°
Space group F-43m (No. 216)
Asymmetric unit:
Cs 0.000 0.000 0.000 [4 per cell]
Ta 0.250 0.250 0.750 [4 per cell]
W 0.250 0.250 0.250 [4 per cell]

---

# 10
Material: CsTb2
Method: DFT, PBE
State: optimized geometry

Values from the calculation:
Electronic total energy, eV/cell: -63.9

Cell: 10.330 10.330 10.330 Å, 90.00 90.00 90.00°
Space group Fd-3m (No. 227, origin choice 2)
Asymmetric unit:
Cs 0.125 0.125 0.125 [8 per cell]
Tb 0.000 0.000 0.500 [16 per cell]

---

# 11
Material: CsTbTc
Method: DFT, PBE
State: optimized geometry

Values from the calculation:
Electronic total energy, eV/cell: -39.1

Cell: 6.904 6.904 6.904 Å, 90.00 90.00 90.00°
Space group F-43m (No. 216)
Asymmetric unit:
Cs 0.000 0.000 0.000 [4 per cell]
Tb 0.250 0.250 0.750 [4 per cell]
Tc 0.250 0.250 0.250 [4 per cell]

---

# 12
Material: CsTbTmTe3
Method: DFT, PBE
State: optimized geometry

Values from the calculation:
Electronic total energy, eV/cell: -107.2

Cell: 4.701 17.572 11.889 Å, 90.00 90.00 90.00°
Space group Cmcm (No. 63)
Asymmetric unit:
Cs 0.000 0.244 0.250 [4 per cell]
Tb 0.000 0.500 0.000 [4 per cell]
Tm 0.000 0.035 0.750 [4 per cell]
Te 0.000 0.121 0.544 [8 per cell]
Te 0.000 0.436 0.750 [4 per cell]